w | A plane-wave DFT calculation with GGA-PBE was carried out for a relaxed structure of Zr2SbBr.

```
data_Zr2SbBr
_chemical_formula_sum 'Zr4 Sb2 Br2'
_cell_length_a 3.948
_cell_length_b 5.200
_cell_length_c 10.439
_cell_angle_alpha 90.00
_cell_angle_beta 90.00
_cell_angle_gamma 90.00
_symmetry_space_group_name_H-M 'C m m 2'
_symmetry_Int_Tables_number 35
loop_
_symmetry_equiv_pos_as_xyz
'x,y,z'
'-x,-y,z'
'-x,y,z'
'x,-y,z'
'x+1/2,y+1/2,z'
'-x+1/2,-y+1/2,z'
'-x+1/2,y+1/2,z'
'x+1/2,-y+1/2,z'
loop_
_atom_site_label
_atom_site_fract_x
_atom_site_fract_y
_atom_site_fract_z
Zr1 0.000 0.000 0.000
Zr2 0.000 0.500 0.223
Sb1 0.000 0.000 0.439
Br1 0.000 0.500 0.815
```

x | A plane-wave DFT calculation with GGA-PBE was carried out for a relaxed structure of Zr2SbBr.

```
data_Zr2SbBr
_chemical_formula_sum 'Zr4 Sb2 Br2'
_cell_length_a 4.154
_cell_length_b 4.154
_cell_length_c 10.730
_cell_angle_alpha 90.00
_cell_angle_beta 90.00
_cell_angle_gamma 90.00
_symmetry_space_group_name_H-M 'I -4 m 2'
_symmetry_Int_Tables_number 119
_symmetry_space_group_name_Hall 'I -4 -2'
loop_
_atom_site_label
_atom_site_fract_x
_atom_site_fract_y
_atom_site_fract_z
Zr1 0.000 0.000 0.000
Zr2 0.000 0.500 0.250
Sb1 0.000 0.000 0.500
Br1 0.000 0.500 0.750
```

Which of them is the most stable? Correct choice: w.

w | A plane-wave DFT calculation with GGA-PBE was carried out for a relaxed structure of AlHgSb2.

```
data_AlHgSb2
_chemical_formula_sum 'Al4 Hg4 Sb8'
_cell_length_a 7.328
_cell_length_b 7.328
_cell_length_c 7.328
_cell_angle_alpha 90.00
_cell_angle_beta 90.00
_cell_angle_gamma 90.00
_symmetry_space_group_name_H-M 'F m -3 m'
_symmetry_Int_Tables_number 225
_symmetry_space_group_name_Hall '-F 4 2 3'
loop_
_atom_site_label
_atom_site_fract_x
_atom_site_fract_y
_atom_site_fract_z
Al1 0.000 0.000 0.000
Hg1 0.000 0.000 0.500
Sb1 0.250 0.250 0.250
```

x | A plane-wave DFT calculation with GGA-PBE was carried out for a relaxed structure of AlHgSb2.

```
data_AlHgSb2
_chemical_formula_sum 'Al1 Hg1 Sb2'
_cell_length_a 5.369
_cell_length_b 5.369
_cell_length_c 3.403
_cell_angle_alpha 90.00
_cell_angle_beta 90.00
_cell_angle_gamma 90.00
_symmetry_space_group_name_H-M 'P 4/m m m'
_symmetry_Int_Tables_number 123
_symmetry_space_group_name_Hall '-P 4 2'
loop_
_atom_site_label
_atom_site_fract_x
_atom_site_fract_y
_atom_site_fract_z
Al1 0.000 0.000 0.000
Hg1 0.500 0.500 0.000
Sb1 0.000 0.500 0.500
```

Which of them is the most stable? Correct choice: x.

w | A plane-wave DFT calculation with GGA-PBE was carried out for a relaxed structure of BC3.

```
data_BC3
_chemical_formula_sum 'B6 C18'
_cell_length_a 5.2466
_cell_length_b 5.2466
_cell_length_c 6.2758
_cell_angle_alpha 90.00
_cell_angle_beta 90.00
_cell_angle_gamma 120.00
_symmetry_space_group_name_H-M 'R -3 m'
_symmetry_Int_Tables_number 166
_symmetry_space_group_name_Hall '-R 3 2"'
loop_
_atom_site_label
_atom_site_fract_x
_atom_site_fract_y
_atom_site_fract_z
B1 0.0000 0.0000 0.1546
C1 0.0098 0.5049 0.1283
```

x | A plane-wave DFT calculation with GGA-PBE was carried out for a relaxed structure of BC3.

```
data_BC3
_chemical_formula_sum 'B6 C18'
_cell_length_a 8.141
_cell_length_b 3.602
_cell_length_c 5.251
_cell_angle_alpha 90.00
_cell_angle_beta 105.25
_cell_angle_gamma 90.00
_symmetry_space_group_name_H-M 'C 1 2 1'
_symmetry_Int_Tables_number 5
loop_
_symmetry_equiv_pos_as_xyz
'x,y,z'
'-x,y,-z'
'x+1/2,y+1/2,z'
'-x+1/2,y+1/2,-z'
loop_
_atom_site_label
_atom_site_fract_x
_atom_site_fract_y
_atom_site_fract_z
B1 0.000 0.000 0.000
B2 0.162 0.500 0.836
C1 0.000 0.999 0.500
C2 0.013 0.754 0.268
C3 0.163 0.243 0.578
C4 0.170 0.500 0.340
C5 0.172 0.258 0.101
```

Which of them is the most stable? Correct choice: w.

w | A plane-wave DFT calculation with GGA-PBE was carried out for a relaxed structure of BeSb2.

```
data_BeSb2
_chemical_formula_sum 'Be4 Sb8'
_cell_length_a 11.537
_cell_length_b 3.908
_cell_length_c 6.944
_cell_angle_alpha 90.00
_cell_angle_beta 103.21
_cell_angle_gamma 90.00
_symmetry_space_group_name_H-M 'C 1 m 1'
_symmetry_Int_Tables_number 8
loop_
_symmetry_equiv_pos_as_xyz
'x,y,z'
'x,-y,z'
'x+1/2,y+1/2,z'
'x+1/2,-y+1/2,z'
loop_
_atom_site_label
_atom_site_fract_x
_atom_site_fract_y
_atom_site_fract_z
Be1 0.000 0.000 0.000
Be2 0.037 0.500 0.574
Sb1 0.016 0.000 0.359
Sb2 0.128 0.500 0.925
Sb3 0.310 0.000 0.396
Sb4 0.369 0.000 0.833
```

x | A plane-wave DFT calculation with GGA-PBE was carried out for a relaxed structure of BeSb2.

```
data_BeSb2
_chemical_formula_sum 'Be2 Sb4'
_cell_length_a 3.402
_cell_length_b 3.402
_cell_length_c 11.847
_cell_angle_alpha 90.00
_cell_angle_beta 90.00
_cell_angle_gamma 90.00
_symmetry_space_group_name_H-M 'I 4/m m m'
_symmetry_Int_Tables_number 139
_symmetry_space_group_name_Hall '-I 4 2'
loop_
_atom_site_label
_atom_site_fract_x
_atom_site_fract_y
_atom_site_fract_z
Be1 0.000 0.000 0.000
Sb1 0.000 0.000 0.378
```

Which of them is the most stable? Correct choice: w.